## BeAlCr2O6 (GGA+U)

Data for a geometry-optimized BeAlCr2O6 structure.

Cell and atoms, written as POSCAR:
```
BeAlCr2O6
1.0
2.4252 1.4002 4.5939
-2.4252 1.4002 4.5939
0.0000 -2.8004 4.5939
Be Al Cr O
1 1 2 6
Direct
0.0000 0.0000 0.0000
0.5642 0.5642 0.5642
0.2508 0.2508 0.2508
0.7628 0.7628 0.7628
0.1664 0.8354 0.5026
0.3399 0.6825 0.9566
0.5026 0.1664 0.8354
0.6825 0.9566 0.3399
0.8354 0.5026 0.1664
0.9566 0.3399 0.6825
```

Calculated values
Magnetization (μB/atom): 0.500
Symmetry: R3 (146)
Calculated total energy (eV/atom): -7.395